[1]
# BTeSe3 | the Alexandria database | PBE-GGA | relaxed
# Symmetry: Pm-3m (221)
# Formation energy without anion corrections: 618 meV per atom
# DOS at the Fermi energy: 1.9 states/eV/f.u.
data_BTeSe3
_chemical_formula_sum 'B1 Te1 Se3'
_cell_length_a 4.5709
_cell_length_b 4.5709
_cell_length_c 4.5709
_cell_angle_alpha 90.00
_cell_angle_beta 90.00
_cell_angle_gamma 90.00
_space_group_name_H-M_alt 'P 1'
_space_group_IT_number 1
loop_
_space_group_symop_operation_xyz
'x,y,z'
loop_
_atom_site_label
_atom_site_fract_x
_atom_site_fract_y
_atom_site_fract_z
B1 0.0000 0.0000 0.0000
Te1 0.5000 0.5000 0.5000
Se1 0.0000 0.0000 0.5000
Se2 0.0000 0.5000 0.0000
Se3 0.5000 0.0000 0.0000


[2]
# B2TeSe6 | the Alexandria database | PBE-GGA | relaxed
# Symmetry: C2/c (15)
# Formation energy without anion corrections: 24 meV per atom
data_B2TeSe6
_chemical_formula_sum 'B4 Te2 Se12'
_cell_length_a 9.7966
_cell_length_b 9.7966
_cell_length_c 6.3522
_cell_angle_alpha 107.42
_cell_angle_beta 107.42
_cell_angle_gamma 80.90
_space_group_name_H-M_alt 'P 1'
_space_group_IT_number 1
loop_
_space_group_symop_operation_xyz
'x,y,z'
loop_
_atom_site_label
_atom_site_fract_x
_atom_site_fract_y
_atom_site_fract_z
B1 0.1885 0.2931 0.1678
B2 0.2931 0.1885 0.6678
B3 0.7069 0.8115 0.3322
B4 0.8115 0.7069 0.8322
Te1 0.4037 0.5963 0.7500
Te2 0.5963 0.4037 0.2500
Se1 0.0235 0.4606 0.1747
Se2 0.1328 0.2137 0.3937
Se3 0.2137 0.1328 0.8937
Se4 0.3100 0.4682 0.2673
Se5 0.4606 0.0235 0.6747
Se6 0.4682 0.3100 0.7673
Se7 0.5318 0.6900 0.2327
Se8 0.5394 0.9765 0.3253
Se9 0.6900 0.5318 0.7327
Se10 0.7863 0.8672 0.1063
Se11 0.8672 0.7863 0.6063
Se12 0.9765 0.5394 0.8253


[3]
# BTe3Se | the Alexandria database | PBE-GGA | relaxed
# Symmetry: Pm-3m (221)
# Formation energy without anion corrections: 781 meV per atom
# DOS at the Fermi energy: 3.7 states/eV/f.u.
data_BTe3Se
_chemical_formula_sum 'B1 Te3 Se1'
_cell_length_a 4.8809
_cell_length_b 4.8809
_cell_length_c 4.8809
_cell_angle_alpha 90.00
_cell_angle_beta 90.00
_cell_angle_gamma 90.00
_space_group_name_H-M_alt 'P 1'
_space_group_IT_number 1
loop_
_space_group_symop_operation_xyz
'x,y,z'
loop_
_atom_site_label
_atom_site_fract_x
_atom_site_fract_y
_atom_site_fract_z
B1 0.0000 0.0000 0.0000
Te1 0.0000 0.0000 0.5000
Te2 0.0000 0.5000 0.0000
Te3 0.5000 0.0000 0.0000
Se1 0.5000 0.5000 0.5000


[4]
# BTe2Se | the Alexandria database | PBE-GGA | relaxed
# Symmetry: I-42d (122)
# Formation energy without anion corrections: 525 meV per atom
# DOS at the Fermi energy: 3.9 states/eV/f.u.
data_BTe2Se
_chemical_formula_sum 'B2 Te4 Se2'
_cell_length_a 6.4573
_cell_length_b 6.4573
_cell_length_c 6.4573
_cell_angle_alpha 117.09
_cell_angle_beta 117.09
_cell_angle_gamma 95.13
_space_group_name_H-M_alt 'P 1'
_space_group_IT_number 1
loop_
_space_group_symop_operation_xyz
'x,y,z'
loop_
_atom_site_label
_atom_site_fract_x
_atom_site_fract_y
_atom_site_fract_z
B1 0.0000 0.0000 0.0000
B2 0.7500 0.2500 0.5000
Te1 0.0468 0.1250 0.4218
Te2 0.3750 0.9532 0.0782
Te3 0.7032 0.6250 0.5782
Te4 0.8750 0.2968 0.9218
Se1 0.2500 0.7500 0.5000
Se2 0.5000 0.5000 0.0000


[5]
# BTeSe3 | the Alexandria database | PBE-GGA | relaxed
# Symmetry: Pm-3m (221)
# Formation energy without anion corrections: 1387 meV per atom
# DOS at the Fermi energy: 4.2 states/eV/f.u.
data_BTeSe3
_chemical_formula_sum 'B1 Te1 Se3'
_cell_length_a 5.3636
_cell_length_b 5.3636
_cell_length_c 5.3636
_cell_angle_alpha 90.00
_cell_angle_beta 90.00
_cell_angle_gamma 90.00
_space_group_name_H-M_alt 'P 1'
_space_group_IT_number 1
loop_
_space_group_symop_operation_xyz
'x,y,z'
loop_
_atom_site_label
_atom_site_fract_x
_atom_site_fract_y
_atom_site_fract_z
B1 0.0000 0.0000 0.0000
Te1 0.5000 0.5000 0.5000
Se1 0.0000 0.5000 0.5000
Se2 0.5000 0.0000 0.5000
Se3 0.5000 0.5000 0.0000


[6]
# BTe2Se | the Alexandria database | PBE-GGA | relaxed
# Symmetry: R-3m (166)
# Formation energy without anion corrections: 699 meV per atom
# DOS at the Fermi energy: 2.5 states/eV/f.u.
data_BTe2Se
_chemical_formula_sum 'B1 Te2 Se1'
_cell_length_a 8.5601
_cell_length_b 8.5601
_cell_length_c 8.5601
_cell_angle_alpha 24.40
_cell_angle_beta 24.40
_cell_angle_gamma 24.40
_space_group_name_H-M_alt 'P 1'
_space_group_IT_number 1
loop_
_space_group_symop_operation_xyz
'x,y,z'
loop_
_atom_site_label
_atom_site_fract_x
_atom_site_fract_y
_atom_site_fract_z
B1 0.0000 0.0000 0.0000
Te1 0.3910 0.3910 0.3910
Te2 0.6090 0.6090 0.6090
Se1 0.5000 0.5000 0.5000


[7]
# BTeSe | the Alexandria database | PBE-GGA | relaxed
# Symmetry: P-1 (2)
# Formation energy without anion corrections: 153 meV per atom
# DOS at the Fermi energy: 0.1 states/eV/f.u.
data_BTeSe
_chemical_formula_sum 'B2 Te2 Se2'
_cell_length_a 3.7224
_cell_length_b 5.6732
_cell_length_c 6.5639
_cell_angle_alpha 91.37
_cell_angle_beta 90.78
_cell_angle_gamma 93.14
_space_group_name_H-M_alt 'P 1'
_space_group_IT_number 1
loop_
_space_group_symop_operation_xyz
'x,y,z'
loop_
_atom_site_label
_atom_site_fract_x
_atom_site_fract_y
_atom_site_fract_z
B1 0.0073 0.0798 0.3919
B2 0.9927 0.9202 0.6081
Te1 0.4718 0.6751 0.6638
Te2 0.5282 0.3249 0.3362
Se1 0.0940 0.1277 0.8628
Se2 0.9060 0.8723 0.1372


[8]
# BTe2Se | the Alexandria database | PBE-GGA | relaxed
# Symmetry: Fm-3m (225)
# Formation energy without anion corrections: 1168 meV per atom
# DOS at the Fermi energy: 2.5 states/eV/f.u.
data_BTe2Se
_chemical_formula_sum 'B1 Te2 Se1'
_cell_length_a 4.9102
_cell_length_b 4.9102
_cell_length_c 4.9102
_cell_angle_alpha 60.00
_cell_angle_beta 60.00
_cell_angle_gamma 60.00
_space_group_name_H-M_alt 'P 1'
_space_group_IT_number 1
loop_
_space_group_symop_operation_xyz
'x,y,z'
loop_
_atom_site_label
_atom_site_fract_x
_atom_site_fract_y
_atom_site_fract_z
B1 0.0000 0.0000 0.0000
Te1 0.2500 0.2500 0.2500
Te2 0.7500 0.7500 0.7500
Se1 0.5000 0.5000 0.5000


[9]
# B2TeSe | the Alexandria database | PBE-GGA | relaxed
# Symmetry: I-42d (122)
# Formation energy without anion corrections: 877 meV per atom
# DOS at the Fermi energy: 1.5 states/eV/f.u.
data_B2TeSe
_chemical_formula_sum 'B4 Te2 Se2'
_cell_length_a 5.7012
_cell_length_b 5.7012
_cell_length_c 5.7012
_cell_angle_alpha 120.24
_cell_angle_beta 120.24
_cell_angle_gamma 89.59
_space_group_name_H-M_alt 'P 1'
_space_group_IT_number 1
loop_
_space_group_symop_operation_xyz
'x,y,z'
loop_
_atom_site_label
_atom_site_fract_x
_atom_site_fract_y
_atom_site_fract_z
B1 0.0958 0.6250 0.9708
B2 0.3750 0.3458 0.4708
B3 0.6542 0.1250 0.0292
B4 0.8750 0.9042 0.5292
Te1 0.2500 0.7500 0.5000
Te2 0.5000 0.5000 0.0000
Se1 0.0000 0.0000 0.0000
Se2 0.7500 0.2500 0.5000


[10]
# BTe3Se | the Alexandria database | PBE-GGA | relaxed
# Symmetry: Pm-3m (221)
# Formation energy without anion corrections: 1385 meV per atom
# DOS at the Fermi energy: 3.5 states/eV/f.u.
data_BTe3Se
_chemical_formula_sum 'B1 Te3 Se1'
_cell_length_a 5.4747
_cell_length_b 5.4747
_cell_length_c 5.4747
_cell_angle_alpha 90.00
_cell_angle_beta 90.00
_cell_angle_gamma 90.00
_space_group_name_H-M_alt 'P 1'
_space_group_IT_number 1
loop_
_space_group_symop_operation_xyz
'x,y,z'
loop_
_atom_site_label
_atom_site_fract_x
_atom_site_fract_y
_atom_site_fract_z
B1 0.0000 0.0000 0.0000
Te1 0.0000 0.5000 0.5000
Te2 0.5000 0.0000 0.5000
Te3 0.5000 0.5000 0.0000
Se1 0.5000 0.5000 0.5000


[11]
# BTe2Se | the Alexandria database | PBE-GGA | relaxed
# Symmetry: R-3m (166)
# Formation energy without anion corrections: 756 meV per atom
# DOS at the Fermi energy: 2.9 states/eV/f.u.
data_BTe2Se
_chemical_formula_sum 'B1 Te2 Se1'
_cell_length_a 7.3855
_cell_length_b 7.3855
_cell_length_c 7.3855
_cell_angle_alpha 39.39
_cell_angle_beta 39.39
_cell_angle_gamma 39.39
_space_group_name_H-M_alt 'P 1'
_space_group_IT_number 1
loop_
_space_group_symop_operation_xyz
'x,y,z'
loop_
_atom_site_label
_atom_site_fract_x
_atom_site_fract_y
_atom_site_fract_z
B1 0.0000 0.0000 0.0000
Te1 0.0995 0.0995 0.0995
Te2 0.9005 0.9005 0.9005
Se1 0.5000 0.5000 0.5000


[12]
# B2TeSe | the Alexandria database | PBE-GGA | relaxed
# Symmetry: Fm-3m (225)
# Formation energy without anion corrections: 1699 meV per atom
# DOS at the Fermi energy: 1.8 states/eV/f.u.
data_B2TeSe
_chemical_formula_sum 'B2 Te1 Se1'
_cell_length_a 4.4066
_cell_length_b 4.4066
_cell_length_c 4.4066
_cell_angle_alpha 60.00
_cell_angle_beta 60.00
_cell_angle_gamma 60.00
_space_group_name_H-M_alt 'P 1'
_space_group_IT_number 1
loop_
_space_group_symop_operation_xyz
'x,y,z'
loop_
_atom_site_label
_atom_site_fract_x
_atom_site_fract_y
_atom_site_fract_z
B1 0.2500 0.2500 0.2500
B2 0.7500 0.7500 0.7500
Te1 0.0000 0.0000 0.0000
Se1 0.5000 0.5000 0.5000


[13]
# BTeSe2 | the Alexandria database | PBE-GGA | relaxed
# Symmetry: R-3m (166)
# Formation energy without anion corrections: 481 meV per atom
# DOS at the Fermi energy: 2.9 states/eV/f.u.
data_BTeSe2
_chemical_formula_sum 'B1 Te1 Se2'
_cell_length_a 6.6735
_cell_length_b 6.6735
_cell_length_c 6.6735
_cell_angle_alpha 45.55
_cell_angle_beta 45.55
_cell_angle_gamma 45.55
_space_group_name_H-M_alt 'P 1'
_space_group_IT_number 1
loop_
_space_group_symop_operation_xyz
'x,y,z'
loop_
_atom_site_label
_atom_site_fract_x
_atom_site_fract_y
_atom_site_fract_z
B1 0.0000 0.0000 0.0000
Te1 0.5000 0.5000 0.5000
Se1 0.1017 0.1017 0.1017
Se2 0.8983 0.8983 0.8983


[14]
# TlBTeSe4 | the Alexandria database | PBE-GGA | relaxed
# Symmetry: P2_1/m (11)
# Formation energy without anion corrections: -107 meV per atom
# DOS at the Fermi energy: 0.1 states/eV/f.u.
data_TlBTeSe4
_chemical_formula_sum 'Tl2 B2 Te2 Se8'
_cell_length_a 6.5192
_cell_length_b 6.7355
_cell_length_c 8.9359
_cell_angle_alpha 90.00
_cell_angle_beta 108.51
_cell_angle_gamma 90.00
_space_group_name_H-M_alt 'P 1'
_space_group_IT_number 1
loop_
_space_group_symop_operation_xyz
'x,y,z'
loop_
_atom_site_label
_atom_site_fract_x
_atom_site_fract_y
_atom_site_fract_z
Tl1 0.2398 0.2500 0.4324
Tl2 0.7602 0.7500 0.5676
B1 0.2809 0.7500 0.1757
B2 0.7191 0.2500 0.8243
Te1 0.2552 0.2500 0.9630
Te2 0.7448 0.7500 0.0370
Se1 0.0807 0.7500 0.3138
Se2 0.0904 0.7500 0.9400
Se3 0.4889 0.5098 0.2223
Se4 0.4889 0.9902 0.2223
Se5 0.5111 0.0098 0.7777
Se6 0.5111 0.4902 0.7777
Se7 0.9096 0.2500 0.0600
Se8 0.9193 0.2500 0.6862


[15]
# Tm8BTe3Se3 | the Alexandria database | PBE-GGA | relaxed
# Symmetry: R-3m (166)
# Formation energy without anion corrections: -1198 meV per atom
# DOS at the Fermi energy: 8.5 states/eV/f.u.
data_Tm8BTe3Se3
_chemical_formula_sum 'Tm8 B1 Te3 Se3'
_cell_length_a 8.4147
_cell_length_b 8.4147
_cell_length_c 8.4147
_cell_angle_alpha 57.75
_cell_angle_beta 57.75
_cell_angle_gamma 57.75
_space_group_name_H-M_alt 'P 1'
_space_group_IT_number 1
loop_
_space_group_symop_operation_xyz
'x,y,z'
loop_
_atom_site_label
_atom_site_fract_x
_atom_site_fract_y
_atom_site_fract_z
Tm1 0.2382 0.2382 0.2382
Tm2 0.2697 0.7155 0.7155
Tm3 0.2845 0.2845 0.7303
Tm4 0.2845 0.7303 0.2845
Tm5 0.7155 0.2697 0.7155
Tm6 0.7155 0.7155 0.2697
Tm7 0.7303 0.2845 0.2845
Tm8 0.7618 0.7618 0.7618
B1 0.5000 0.5000 0.5000
Te1 0.0000 0.5000 0.5000
Te2 0.5000 0.0000 0.5000
Te3 0.5000 0.5000 0.0000
Se1 0.0000 0.0000 0.5000
Se2 0.0000 0.5000 0.0000
Se3 0.5000 0.0000 0.0000


[16]
# Tm8BTe4Se3 | the Alexandria database | PBE-GGA | relaxed
# Symmetry: R-3m (166)
# Formation energy without anion corrections: -1347 meV per atom
# DOS at the Fermi energy: 6.1 states/eV/f.u.
data_Tm8BTe4Se3
_chemical_formula_sum 'Tm8 B1 Te4 Se3'
_cell_length_a 8.3959
_cell_length_b 8.3959
_cell_length_c 8.3959
_cell_angle_alpha 58.30
_cell_angle_beta 58.30
_cell_angle_gamma 58.30
_space_group_name_H-M_alt 'P 1'
_space_group_IT_number 1
loop_
_space_group_symop_operation_xyz
'x,y,z'
loop_
_atom_site_label
_atom_site_fract_x
_atom_site_fract_y
_atom_site_fract_z
Tm1 0.2396 0.2396 0.2396
Tm2 0.2672 0.7186 0.7186
Tm3 0.2814 0.2814 0.7328
Tm4 0.2814 0.7328 0.2814
Tm5 0.7186 0.2672 0.7186
Tm6 0.7186 0.7186 0.2672
Tm7 0.7328 0.2814 0.2814
Tm8 0.7604 0.7604 0.7604
B1 0.5000 0.5000 0.5000
Te1 0.0000 0.0000 0.0000
Te2 0.0000 0.5000 0.5000
Te3 0.5000 0.0000 0.5000
Te4 0.5000 0.5000 0.0000
Se1 0.0000 0.0000 0.5000
Se2 0.0000 0.5000 0.0000
Se3 0.5000 0.0000 0.0000


[17]
# Tm4BTe2Se | the Alexandria database | PBE-GGA | relaxed
# Symmetry: P2/m (10)
# Formation energy without anion corrections: -1185 meV per atom
# DOS at the Fermi energy: 2.2 states/eV/f.u.
data_Tm4BTe2Se
_chemical_formula_sum 'Tm4 B1 Te2 Se1'
_cell_length_a 7.0752
_cell_length_b 4.0095
_cell_length_c 7.2975
_cell_angle_alpha 90.00
_cell_angle_beta 108.39
_cell_angle_gamma 90.00
_space_group_name_H-M_alt 'P 1'
_space_group_IT_number 1
loop_
_space_group_symop_operation_xyz
'x,y,z'
loop_
_atom_site_label
_atom_site_fract_x
_atom_site_fract_y
_atom_site_fract_z
Tm1 0.2096 0.0000 0.2007
Tm2 0.2310 0.5000 0.7927
Tm3 0.7690 0.5000 0.2073
Tm4 0.7904 0.0000 0.7993
B1 0.0000 0.5000 0.0000
Te1 0.0000 0.0000 0.5000
Te2 0.5000 0.5000 0.5000
Se1 0.5000 0.0000 0.0000


[18]
# Th5BSe4 | the Alexandria database | PBE-GGA | relaxed
# Symmetry: I4/mmm (139)
# Formation energy without anion corrections: -1267 meV per atom
# DOS at the Fermi energy: 6.6 states/eV/f.u.
data_Th5BSe4
_chemical_formula_sum 'Th5 B1 Se4'
_cell_length_a 15.1160
_cell_length_b 15.1160
_cell_length_c 15.1160
_cell_angle_alpha 164.19
_cell_angle_beta 164.19
_cell_angle_gamma 22.43
_space_group_name_H-M_alt 'P 1'
_space_group_IT_number 1
loop_
_space_group_symop_operation_xyz
'x,y,z'
loop_
_atom_site_label
_atom_site_fract_x
_atom_site_fract_y
_atom_site_fract_z
Th1 0.0000 0.0000 0.0000
Th2 0.2043 0.2043 0.0000
Th3 0.4104 0.4104 0.0000
Th4 0.5896 0.5896 0.0000
Th5 0.7957 0.7957 0.0000
B1 0.5000 0.5000 0.0000
Se1 0.1017 0.1017 0.0000
Se2 0.3055 0.3055 0.0000
Se3 0.6945 0.6945 0.0000
Se4 0.8983 0.8983 0.0000


[19]
# Th5BSe5 | the Alexandria database | PBE-GGA | relaxed
# Symmetry: C2/m (12)
# Formation energy without anion corrections: -1392 meV per atom
# DOS at the Fermi energy: 5.4 states/eV/f.u.
data_Th5BSe5
_chemical_formula_sum 'Th5 B1 Se5'
_cell_length_a 7.1810
_cell_length_b 7.1810
_cell_length_c 8.3265
_cell_angle_alpha 107.04
_cell_angle_beta 107.04
_cell_angle_gamma 48.11
_space_group_name_H-M_alt 'P 1'
_space_group_IT_number 1
loop_
_space_group_symop_operation_xyz
'x,y,z'
loop_
_atom_site_label
_atom_site_fract_x
_atom_site_fract_y
_atom_site_fract_z
Th1 0.0000 0.0000 0.0000
Th2 0.3437 0.3437 0.1498
Th3 0.3478 0.3478 0.6941
Th4 0.6522 0.6522 0.3059
Th5 0.6563 0.6563 0.8502
B1 0.5000 0.5000 0.0000
Se1 0.1572 0.1572 0.8130
Se2 0.1717 0.1717 0.3398
Se3 0.5000 0.5000 0.5000
Se4 0.8283 0.8283 0.6602
Se5 0.8428 0.8428 0.1870


[20]
# Th3BSe2 | the Alexandria database | PBE-GGA | relaxed
# Symmetry: C2/m (12)
# Formation energy without anion corrections: -1182 meV per atom
# DOS at the Fermi energy: 2.6 states/eV/f.u.
data_Th3BSe2
_chemical_formula_sum 'Th6 B2 Se4'
_cell_length_a 7.1082
_cell_length_b 7.1082
_cell_length_c 7.3197
_cell_angle_alpha 99.31
_cell_angle_beta 99.31
_cell_angle_gamma 120.00
_space_group_name_H-M_alt 'P 1'
_space_group_IT_number 1
loop_
_space_group_symop_operation_xyz
'x,y,z'
loop_
_atom_site_label
_atom_site_fract_x
_atom_site_fract_y
_atom_site_fract_z
Th1 0.0699 0.4279 0.7832
Th2 0.2140 0.2140 0.2140
Th3 0.4279 0.0699 0.7832
Th4 0.5721 0.9301 0.2168
Th5 0.7860 0.7860 0.7860
Th6 0.9301 0.5721 0.2168
B1 0.1669 0.8331 0.0000
B2 0.8331 0.1669 0.0000
Se1 0.0000 0.0000 0.5000
Se2 0.3405 0.6595 0.5000
Se3 0.5000 0.5000 0.0000
Se4 0.6595 0.3405 0.5000